No. 1
MgTi2: PBEsol geometry, meta-GGA SCAN.

Cell: 2.9042 4.9054 7.6606 Å, 90.00 100.93 90.00°
Last column: nearest neighbours and their distance in Å.
Element x y z (fractional)
Mg 0.8921 0.7500 0.7842  2 Mg 2.90, 10 Ti 2.92-3.00
Mg 0.1079 0.2500 0.2158  2 Mg 2.90, 10 Ti 2.92-3.00
Ti 0.5653 0.7500 0.1306  4 Ti 2.78-2.90, 6 Mg 2.92-2.98
Ti 0.2230 0.7500 0.4460  8 Ti 2.78-2.96, 4 Mg 2.93-3.00
Ti 0.4347 0.2500 0.8694  4 Ti 2.78-2.90, 6 Mg 2.92-2.98
Ti 0.7770 0.2500 0.5540  8 Ti 2.78-2.96, 4 Mg 2.93-3.00

Formation enthalpy at 0 K (meV/atom): 190
M_tot (μB/cell): 0.00
Crystal system: orthorhombic



No. 2
TaHg2Au: PBEsol geometry, meta-GGA SCAN.

Cell: 2.9119 5.1812 5.8305 Å, 116.38 104.46 90.00°
Last column: nearest neighbours and their distance in Å.
Element x y z (fractional)
Hg 0.7497 0.7497 0.4993  2 Au 2.90, 2 Ta 2.90, 6 Hg 2.91-2.97
Hg 0.2503 0.2503 0.5007  2 Au 2.90, 2 Ta 2.90, 6 Hg 2.91-2.97
Ta 0.5000 0.0000 0.0000  4 Hg 2.90, 2 Ta 2.91, 4 Au 2.97
Au 0.0000 0.5000 0.0000  4 Hg 2.90, 2 Au 2.91, 4 Ta 2.97

Formation enthalpy at 0 K (meV/atom): 277
M_tot (μB/cell): 0.00
Energy relative to the lowest polymorph listed for this composition (kJ per mole of atoms): 15.5
Crystal system: orthorhombic



No. 3
NdZn11: PBEsol geometry, meta-GGA SCAN.

Cell: 6.6945 8.0998 8.0998 Å, 80.17 65.59 65.59°
Last column: nearest neighbours and their distance in Å.
Element x y z (fractional)
Zn 0.5760 0.9163 0.3272  8 Zn 2.54-2.82
Zn 0.0968 0.0837 0.3272  8 Zn 2.54-2.82
Zn 0.6532 0.4163 0.1728  8 Zn 2.54-2.82
Zn 0.3750 0.7500 0.2500  10 Zn 2.55-2.74
Zn 0.2424 0.8272 0.5837  8 Zn 2.54-2.82
Zn 0.1740 0.5837 0.1728  8 Zn 2.54-2.82
Zn 0.0968 0.3272 0.0837  8 Zn 2.54-2.82
Zn 0.2424 0.5837 0.8272  8 Zn 2.54-2.82
Zn 0.3750 0.2500 0.2500  10 Zn 2.55-2.74
Zn 0.5000 0.0000 0.0000  12 Zn 2.74-2.82
Zn 0.8750 0.7500 0.7500  10 Zn 2.55-2.74
Zn 0.5076 0.9163 0.6728  8 Zn 2.54-2.82
Zn 0.9305 0.8272 0.4163  8 Zn 2.54-2.82
Zn 0.1740 0.1728 0.5837  8 Zn 2.54-2.82
Zn 0.9305 0.4163 0.8272  8 Zn 2.54-2.82
Zn 0.5076 0.6728 0.9163  8 Zn 2.54-2.82
Zn 0.3750 0.2500 0.7500  10 Zn 2.55-2.74
Zn 0.6532 0.1728 0.4163  8 Zn 2.54-2.82
Zn 0.2500 0.5000 0.5000  12 Zn 2.74-2.82
Zn 0.8195 0.6728 0.0837  8 Zn 2.54-2.82
Zn 0.8195 0.0837 0.6728  8 Zn 2.54-2.82
Zn 0.5760 0.3272 0.9163  8 Zn 2.54-2.82
Nd 0.0000 0.0000 0.0000  18 Zn 3.21-3.35
Nd 0.7500 0.5000 0.5000  18 Zn 3.21-3.35

Formation enthalpy at 0 K (meV/atom): -277
M_tot (μB/cell): 0.00
Crystal system: tetragonal



No. 4
ZnGaSb2: PBEsol geometry, meta-GGA SCAN.

Cell: 6.0838 6.0838 7.3772 Å, 114.35 114.35 90.00°
Last column: nearest neighbours and their distance in Å.
Element x y z (fractional)
Zn 0.5000 0.5000 0.0000  4 Sb 2.60
Zn 0.7500 0.2500 0.5000  4 Sb 2.60
Sb 0.3801 0.8750 0.2500  2 Zn 2.60, 2 Ga 2.64
Sb 0.6250 0.6199 0.7500  2 Zn 2.60, 2 Ga 2.64
Sb 0.8699 0.3750 0.2500  2 Zn 2.60, 2 Ga 2.64
Sb 0.1250 0.1301 0.7500  2 Zn 2.60, 2 Ga 2.64
Ga 0.0000 0.0000 0.0000  4 Sb 2.64
Ga 0.2500 0.7500 0.5000  4 Sb 2.64

M_tot (μB/cell): 0.00
VASP energy (eV/atom): -26.1295
Crystal system: tetragonal



No. 5
MnRu2: PBEsol geometry, meta-GGA SCAN.

Cell: 2.6392 4.8975 6.1241 Å, 103.24 90.00 105.63°
Last column: nearest neighbours and their distance in Å.
Element x y z (fractional)
Mn 0.9710 0.9420 0.1917  9 Ru 2.52-2.64, 3 Mn 2.53-2.64
Mn 0.0290 0.0580 0.8083  9 Ru 2.52-2.64, 3 Mn 2.53-2.64
Ru 0.3635 0.7270 0.4688  8 Ru 2.51-2.66, 4 Mn 2.54-2.64
Ru 0.6365 0.2730 0.5312  8 Ru 2.51-2.66, 4 Mn 2.54-2.64
Ru 0.6871 0.3741 0.1338  5 Mn 2.52-2.62, 7 Ru 2.59-2.66
Ru 0.3129 0.6259 0.8662  5 Mn 2.52-2.62, 7 Ru 2.59-2.66

Formation enthalpy at 0 K (meV/atom): 73
M_tot (μB/cell): 0.00
Crystal system: monoclinic



No. 6
Y2Zn2Ga: PBEsol geometry, meta-GGA SCAN.

Cell: 3.4858 3.4858 9.2678 Å, 100.84 100.84 90.00°
Last column: nearest neighbours and their distance in Å.
Element x y z (fractional)
Y 0.3982 0.3982 0.7964  4 Ga 3.06, 4 Zn 3.17
Y 0.6018 0.6018 0.2036  4 Ga 3.06, 4 Zn 3.17
Zn 0.7500 0.2500 0.5000  4 Zn 2.46
Zn 0.2500 0.7500 0.5000  4 Zn 2.46
Ga 0.0000 0.0000 0.0000  8 Y 3.06

Formation enthalpy at 0 K (meV/atom): -288
M_tot (μB/cell): 0.00
Crystal system: tetragonal